Material: CoAg5Br8
Method: DFT, GGA-PBE
State: relaxed

Unit cell a=8.8085 b=8.8085 c=12.2668 alpha=90.00 beta=90.00 gamma=90.00
Closest atoms and distances in Å follow each position.
Space group I-4 (No. 82)
Unique sites:
Co: 0.0000 0.0000 0.0000 (multiplicity 2)  4 Br 2.38
Ag: 0.0000 0.5000 0.7500 (multiplicity 2)  4 Br 2.69
Ag: 0.2226 0.7739 0.4993 (multiplicity 8)  4 Br 2.64-2.82
Br: 0.0009 0.2335 0.6422 (multiplicity 8)  3 Ag 2.64-2.69
Br: 0.0012 0.7765 0.1092 (multiplicity 8)  1 Co 2.38

Summary:
formation energy (no corrections)	-4.2	eV per formula unit
crystal system	tetragonal